VASP calculation (GGA-PBE) on a geometry-optimized ZrTeMo2 structure.

Geometry as extended XYZ:
```
4
Lattice="3.2317 0.0000 0.0000 0.0000 4.7951 0.0000 -0.0506 0.0000 5.1126" Properties=species:S:1:pos:R:3 pbc="T T T"
Zr 0.0000 0.0000 0.0000
Te 1.5905 0.0000 2.5563
Mo 1.1541 2.3976 3.9654
Mo 2.0269 2.3976 1.1471
```

Computed properties:
Energy relative to the elements, uncorrected = 0.19 eV per atom
Magnetization = 0.00 Bohr magnetons per cell
Space-group type = No. 10

VASP calculation (GGA-PBE) on a geometry-optimized EuScRh2 structure.

Geometry as extended XYZ:
```
16
Lattice="6.7368 0.0000 0.0000 0.0000 6.7368 0.0000 0.0000 0.0000 6.7368" Properties=species:S:1:pos:R:3 pbc="T T T"
Eu 0.0000 0.0000 0.0000
Eu 0.0000 3.3684 3.3684
Eu 3.3684 0.0000 3.3684
Eu 3.3684 3.3684 0.0000
Sc 0.0000 0.0000 3.3684
Sc 0.0000 3.3684 0.0000
Sc 3.3684 0.0000 0.0000
Sc 3.3684 3.3684 3.3684
Rh 1.6842 1.6842 1.6842
Rh 1.6842 1.6842 5.0526
Rh 1.6842 5.0526 1.6842
Rh 1.6842 5.0526 5.0526
Rh 5.0526 1.6842 1.6842
Rh 5.0526 1.6842 5.0526
Rh 5.0526 5.0526 1.6842
Rh 5.0526 5.0526 5.0526
```

Computed properties:
E_form = -0.584 eV per atom
Magnetization = 27.19 Bohr magnetons per cell
Space-group type = No. 225

VASP calculation (GGA-PBE) on a geometry-optimized LiSc6Rh5 structure.

Geometry as extended XYZ:
```
12
Lattice="2.2937 -6.9067 0.0000 2.2937 6.9067 0.0000 0.0000 0.0000 6.4678" Properties=species:S:1:pos:R:3 pbc="T T T"
Li 0.0000 0.0000 0.0000
Sc 2.2937 4.5687 1.6213
Sc 2.2937 4.5687 4.8465
Sc 2.2937 0.0000 1.6493
Sc 2.2937 0.0000 4.8185
Sc 2.2937 -4.5687 1.6213
Sc 2.2937 -4.5687 4.8465
Rh 0.0000 0.0000 3.2339
Rh 2.2937 2.3158 3.2339
Rh 2.2937 2.2621 0.0000
Rh 2.2937 -2.2621 0.0000
Rh 2.2937 -2.3158 3.2339
```

Computed properties:
E_form = -0.857 eV per atom
Magnetization = 0.00 Bohr magnetons per cell
Space-group type = No. 65

VASP calculation (GGA-PBE) on a geometry-optimized Hg5Pb structure.

Geometry as extended XYZ:
```
12
Lattice="12.4095 0.0000 0.0000 0.0000 3.6160 0.0000 -4.5431 0.0000 7.4098" Properties=species:S:1:pos:R:3 pbc="T T T"
Hg 0.0000 0.0000 0.0000
Hg -2.5720 0.0000 4.7770
Hg -1.5317 1.8080 7.1505
Hg 0.5498 0.0000 5.0763
Hg 4.2596 0.0000 2.2248
Hg 6.2048 1.8080 0.0000
Hg 3.6327 1.8080 4.7770
Hg 4.6731 0.0000 7.1505
Hg 6.7545 1.8080 5.0763
Hg 10.4644 1.8080 2.2248
Pb 1.2538 1.8080 2.4512
Pb 7.4586 0.0000 2.4512
```

Computed properties:
E_form = 0.024 eV per atom
Magnetization = 0.00 Bohr magnetons per cell
Space-group type = No. 8

VASP calculation (GGA-PBE) on a geometry-optimized BaLuTlSn structure.

Geometry as extended XYZ:
```
16
Lattice="7.9927 0.0000 0.0000 0.0000 7.9927 0.0000 0.0000 0.0000 7.9927" Properties=species:S:1:pos:R:3 pbc="T T T"
Ba 0.0000 0.0000 0.0000
Ba 0.0000 3.9964 3.9964
Ba 3.9964 0.0000 3.9964
Ba 3.9964 3.9964 0.0000
Lu 0.0000 0.0000 3.9964
Lu 0.0000 3.9964 0.0000
Lu 3.9964 0.0000 0.0000
Lu 3.9964 3.9964 3.9964
Tl 1.9982 1.9982 5.9946
Tl 1.9982 5.9946 1.9982
Tl 5.9946 1.9982 1.9982
Tl 5.9946 5.9946 5.9946
Sn 1.9982 1.9982 1.9982
Sn 1.9982 5.9946 5.9946
Sn 5.9946 1.9982 5.9946
Sn 5.9946 5.9946 1.9982
```

Computed properties:
E_form = -0.314 eV per atom
Magnetization = 0.00 Bohr magnetons per cell
Space-group type = No. 216

VASP calculation (GGA-PBE) on a geometry-optimized ZnNiAu2 structure.

Geometry as extended XYZ:
```
12
Lattice="4.3382 0.0000 0.0000 -2.1691 3.7570 0.0000 0.0000 0.0000 12.6332" Properties=species:S:1:pos:R:3 pbc="T T T"
Zn 0.0000 0.0000 0.0000
Zn 0.0000 2.5046 8.4221
Zn 2.1691 1.2523 4.2110
Ni 0.0000 0.0000 2.4575
Ni 0.0000 2.5046 10.8796
Ni 2.1691 1.2523 6.6685
Au 0.0000 0.0000 7.1528
Au 0.0000 0.0000 9.9161
Au 0.0000 2.5046 2.9417
Au 0.0000 2.5046 5.7051
Au 2.1691 1.2523 1.4940
Au 2.1691 1.2523 11.3638
```

Computed properties:
E_form = 0.039 eV per atom
Magnetization = 0.00 Bohr magnetons per cell
Space-group type = No. 160

VASP calculation (GGA-PBE) on a geometry-optimized LaTb3Ce2S6 structure.

Geometry as extended XYZ:
```
12
Lattice="3.4461 -5.9757 0.0000 3.4461 5.9757 0.0000 -2.3073 0.0000 6.5867" Properties=species:S:1:pos:R:3 pbc="T T T"
La 0.0000 0.0000 0.0000
Tb 2.2925 4.0141 3.2933
Tb 2.2925 0.0000 3.2933
Tb 2.2925 -4.0141 3.2933
Ce 3.4461 1.9924 0.0000
Ce 3.4461 -1.9924 0.0000
S 1.1621 2.0193 1.7356
S 0.0254 0.0000 4.8687
S 1.1621 -2.0193 1.7356
S 3.4229 2.0193 4.8511
S 4.5596 0.0000 1.7179
S 3.4229 -2.0193 4.8511
```

Computed properties:
Energy relative to the elements, uncorrected = -2.05 eV per atom
Magnetization = 1.62 Bohr magnetons per cell
Space-group type = No. 12

VASP calculation (GGA-PBE) on a geometry-optimized LiUPd4 structure.

Geometry as extended XYZ:
```
12
Lattice="7.4773 0.0000 0.0000 0.0000 3.9268 0.0000 0.0000 0.0000 6.8301" Properties=species:S:1:pos:R:3 pbc="T T T"
Li 1.8693 0.0000 1.4963
Li 5.6080 0.0000 5.3338
U 1.8693 0.0000 4.4561
U 5.6080 0.0000 2.3740
Pd 0.0000 0.0000 0.0000
Pd 0.3376 1.9634 2.1260
Pd 1.8693 1.9634 6.5045
Pd 3.4011 1.9634 2.1260
Pd 3.7387 0.0000 0.0000
Pd 4.0762 1.9634 4.7041
Pd 5.6080 1.9634 0.3256
Pd 7.1397 1.9634 4.7041
```

Computed properties:
E_form = -0.353 eV per atom
Magnetization = 4.28 Bohr magnetons per cell
Space-group type = No. 51

In the order shown, the computed DFT total energy values come out to -32.6 -134.6 -86.9 -10.2 -56.3 -40.4 -80.1 -72.2 eV per cell.